(1)
First-principles (PBE) data for an optimized crystal structure of Dy2Al3Pt2, as listed in Alexandria.

Cell and atoms, written as extended XYZ:
```
7
Lattice="-3.4556 2.1372 -1.2155 -1.2500 -4.6546 2.7681 1.7803 5.2425 4.1564" Properties=species:S:1:pos:R:3 pbc="T T T"
Dy 0.5175 3.0384 3.8709
Dy -3.4428 -0.3134 1.8380
Al -1.2106 0.2811 3.9359
Al -1.7147 2.4439 1.7731
Al -1.7278 1.0686 -0.6077
Pt -2.4773 2.5942 4.2055
Pt -0.4479 0.1309 1.5035
```

energy of formation: -1.0056 eV/atom

(2)
First-principles (PBE) data for an optimized crystal structure of Tb2PrNd2Tm2, as listed in Alexandria.

Cell and atoms, written as extended XYZ:
```
7
Lattice="3.5390 0.0000 0.0000 -1.7695 5.6516 1.6063 0.0000 0.6685 11.8908" Properties=species:S:1:pos:R:3 pbc="T T T"
Tb 0.0000 5.6036 10.6166
Tb 1.7695 0.7164 2.8806
Nd 0.0000 3.7795 2.0576
Nd 1.7695 2.5406 11.4395
Pr 0.0000 0.3342 5.9454
Tm 1.7695 3.3511 5.2032
Tm 0.0000 2.9690 8.2939
```

energy of formation: 0.0881 eV/atom

| no. | calculated density (g/cm³) | total magnetic moment (μB/f.u.) | VASP energy (eV/cell) |
| --- | --- | --- | --- |
| 1 | 9.7 | 0.00 | -39.55 |
| 2 | 7.7 | 0.00 | -31.90 |